Record 1
{"formula": "SmY4Sc", "functional": "PBE-GGA", "state": "optimized geometry", "lattice_angstrom": [[-4.156, 2.786, 0.438], [-2.692, -3.688, -2.093], [-1.487, -3.480, 8.042]], "species": ["Y", "Y", "Y", "Y", "Sm", "Sc"], "frac_coords": [[0.997, 0.501, 0.214], [0.997, 0.501, 0.790], [0.497, 0.001, 0.790], [0.497, 0.001, 0.214], [0.997, 0.001, 0.502], [0.497, 0.501, 0.002]], "total_magnetization_mub_per_atom": 0.001, "crystal_system": "tetragonal", "polymorph_energy_ev_per_fu": 2.95, "formation_energy_ev_per_atom": 0.6945}


Record 2
{"formula": "Mn3ReGe", "functional": "PBE-GGA", "state": "optimized geometry", "lattice_angstrom": [[-0.291, 3.501, -2.993], [-1.874, -2.829, -3.127], [-4.207, 1.018, 1.600]], "species": ["Mn", "Mn", "Mn", "Re", "Ge"], "frac_coords": [[0.500, 0.000, 0.000], [0.000, 0.500, 0.000], [0.000, 0.000, 0.500], [0.000, 0.000, 0.000], [0.500, 0.500, 0.500]], "total_magnetization_mub_per_atom": 1.612, "crystal_system": "cubic", "formation_energy_ev_per_atom": 1.2653}


Record 3
{"formula": "LaTbPBr", "functional": "PBE-GGA", "state": "optimized geometry", "lattice_angstrom": [[4.083, -0.001, 0.000], [-2.041, 3.537, 0.000], [-2.041, -1.178, 7.461]], "species": ["La", "Tb", "Br", "P"], "frac_coords": [[0.500, 0.148, 0.663], [0.105, 0.950, 0.071], [0.957, 0.377, 0.349], [0.316, 0.556, 0.887]], "total_magnetization_mub_per_atom": 0.000, "crystal_system": "trigonal", "raw_formation_energy_kj_per_mol_atoms": -146.14}


Record 4
{"formula": "MnIrW", "functional": "PBE-GGA", "state": "optimized geometry", "lattice_angstrom": [[4.228, 0.000, 0.000], [2.114, 3.661, 0.000], [2.114, 1.220, 3.452]], "species": ["Mn", "Ir", "W"], "frac_coords": [[0.000, 0.000, 0.000], [0.750, 0.750, 0.750], [0.500, 0.500, 0.500]], "total_magnetization_mub_per_atom": 1.341, "crystal_system": "cubic", "polymorph_energy_ev_per_fu": 1.46, "formation_energy_ev_per_atom": 0.4104}


Record 5
{"formula": "Na2NpPO6", "functional": "PBE-GGA", "state": "optimized geometry", "lattice_angstrom": [[4.386, 0.000, 0.000], [0.000, 5.317, 0.000], [0.000, 0.000, 5.317]], "species": ["O", "O", "O", "O", "O", "O", "Na", "Na", "P", "Np"], "frac_coords": [[0.665, 0.781, 0.219], [0.665, 0.219, 0.781], [0.220, 0.000, 0.000], [0.665, 0.219, 0.219], [0.154, 0.500, 0.500], [0.665, 0.781, 0.781], [0.098, 0.500, 0.000], [0.098, 0.000, 0.500], [0.569, 0.000, 0.000], [0.646, 0.500, 0.500]], "total_magnetization_mub_per_atom": 0.200, "crystal_system": "tetragonal", "raw_formation_energy_kj_per_mol_atoms": -213.89}


Record 6
{"formula": "LiBiPb2S4", "functional": "PBE-GGA", "state": "optimized geometry", "lattice_angstrom": [[4.122, 0.000, 0.000], [0.000, 7.089, -0.200], [0.000, 2.438, 6.600]], "species": ["Li", "S", "S", "S", "S", "Bi", "Pb", "Pb"], "frac_coords": [[0.500, 0.500, 0.000], [0.000, 0.268, 0.242], [0.500, 0.728, 0.248], [0.000, 0.732, 0.758], [0.500, 0.272, 0.752], [0.000, 0.500, 0.500], [0.000, 0.000, 0.000], [0.500, 0.000, 0.500]], "total_magnetization_mub_per_atom": 0.000, "crystal_system": "monoclinic", "raw_formation_energy_kj_per_mol_atoms": -58.75}


Record 7
{"formula": "ZrAsBr2N", "functional": "PBE-GGA", "state": "optimized geometry", "lattice_angstrom": [[-4.976, 0.675, -2.002], [-2.092, -2.302, 4.422], [-0.292, 4.706, 2.312]], "species": ["Br", "Br", "N", "As", "Zr"], "frac_coords": [[0.500, 0.000, 0.000], [0.000, 0.500, 0.000], [0.500, 0.500, 0.500], [0.000, 0.000, 0.500], [0.000, 0.000, 0.000]], "total_magnetization_mub_per_atom": 0.704, "crystal_system": "tetragonal", "polymorph_energy_ev_per_fu": 0.00, "raw_formation_energy_kj_per_mol_atoms": 55.47}


For reference, ρ by record: 4080, 7159, 6299, 13395, 5489, 6464, 3678 kg/m³.